Here is a relaxed structure of CoTc2Ir from Alexandria via LeMat-Bulk. Energies are from PBE-GGA.

Unit cell a=2.7129 b=2.7129 c=26.0221 alpha=90.00 beta=90.00 gamma=120.00
Last column: nearest neighbours and their distance in Å.
Space group R3m (No. 160, hexagonal axes)
Asymmetric unit:
Co 0.0000 0.0000 0.0000 (multiplicity 3)  3 Ir 2.63, 3 Tc 2.63, 6 Co 2.71
Tc 0.0000 0.0000 0.2521 (multiplicity 3)  3 Co 2.63, 9 Tc 2.71
Tc 0.0000 0.0000 0.5004 (multiplicity 3)  9 Tc 2.71, 3 Ir 2.73
Ir 0.0000 0.0000 0.7478 (multiplicity 3)  3 Co 2.63, 6 Ir 2.71, 3 Tc 2.73

Results
* crystal system: trigonal
* ρ: 13.43 g/cm3
* relative energy among the computed polymorphs: 201 meV per atom



Here is a relaxed structure of CoTcIr from Alexandria via LeMat-Bulk. Energies are from PBE-GGA.

Unit cell a=2.6813 b=2.6813 c=11.0415 alpha=90.00 beta=90.00 gamma=90.00
Last column: nearest neighbours and their distance in Å.
Space group I4mm (No. 107)
Asymmetric unit:
Co 0.0000 0.0000 0.0000 (multiplicity 2)  4 Tc 2.58, 4 Ir 2.65, 4 Co 2.68
Tc 0.0000 0.0000 0.6586 (multiplicity 2)  4 Co 2.58, 4 Tc 2.68, 4 Ir 2.70
Ir 0.0000 0.0000 0.3328 (multiplicity 2)  4 Co 2.65, 4 Ir 2.68, 4 Tc 2.70

Results
* crystal system: tetragonal
* ρ: 14.61 g/cm3
* relative energy among the computed polymorphs: 0 meV per atom



Here is a relaxed structure of Co2Tc2Ir15 from Alexandria via LeMat-Bulk. Energies are from PBE-GGA.

Unit cell a=8.8797 b=8.8797 c=13.4343 alpha=90.00 beta=90.00 gamma=120.00
Last column: nearest neighbours and their distance in Å.
Space group R-3m (No. 166, hexagonal axes)
Asymmetric unit:
Co 0.0000 0.0000 0.2186 (multiplicity 6)  1 Tc 2.59, 3 Ir 2.88
Tc 0.0000 0.0000 0.4111 (multiplicity 6)  1 Tc 2.39, 1 Co 2.59
Ir 0.0000 0.3112 0.5000 (multiplicity 18)  8 Ir 2.64-2.79
Ir 0.0000 0.5000 0.0000 (multiplicity 9)  8 Ir 2.56-2.64, 2 Tc 2.77
Ir 0.0026 0.5013 0.3471 (multiplicity 18)  8 Ir 2.56-2.79, 1 Tc 2.82

Results
* crystal system: trigonal
* ρ: 17.36 g/cm3
* E: -477.44 eV for the cell shown